*a*
Entry from Alexandria via LeMat-Bulk: a relaxed structure of PmPSe (PBE-GGA).

Unit cell a=5.6775 b=5.6022 c=17.5829 alpha=90.00 beta=90.00 gamma=90.00
Closest atoms and distances in Å follow each position.
Atoms (fractional coordinates):
Pm  0.0180  0.2500  0.1308  5 Se 2.95-3.14, 4 P 3.20-3.24
Pm  0.0178  0.7500  0.3584  5 Se 2.91-3.08, 4 P 2.95-3.20
Pm  0.4822  0.2500  0.8584  5 Se 2.91-3.08, 4 P 2.95-3.20
Pm  0.4820  0.7500  0.6308  5 Se 2.95-3.14, 4 P 3.20-3.24
Pm  0.5180  0.2500  0.3692  5 Se 2.95-3.14, 4 P 3.20-3.24
Pm  0.5178  0.7500  0.1416  5 Se 2.91-3.08, 4 P 2.95-3.20
Pm  0.9822  0.2500  0.6416  5 Se 2.91-3.08, 4 P 2.95-3.20
Pm  0.9820  0.7500  0.8692  5 Se 2.95-3.14, 4 P 3.20-3.24
P  0.1936  0.0460  0.5030  2 P 2.26-2.29
P  0.1936  0.4540  0.5030  2 P 2.26-2.29
P  0.3064  0.5460  0.0030  2 P 2.26-2.29
P  0.3064  0.9540  0.0030  2 P 2.26-2.29
P  0.6936  0.0460  0.9970  2 P 2.26-2.29
P  0.6936  0.4540  0.9970  2 P 2.26-2.29
P  0.8064  0.5460  0.4970  2 P 2.26-2.29
P  0.8064  0.9540  0.4970  2 P 2.26-2.29
Se  0.0146  0.7500  0.1833  5 Pm 2.91-3.08
Se  0.0167  0.2500  0.3097  5 Pm 2.93-3.14
Se  0.4833  0.7500  0.8097  5 Pm 2.93-3.14
Se  0.4854  0.2500  0.6833  5 Pm 2.91-3.08
Se  0.5146  0.7500  0.3167  5 Pm 2.91-3.08
Se  0.5167  0.2500  0.1903  5 Pm 2.93-3.14
Se  0.9833  0.7500  0.6903  5 Pm 2.93-3.14
Se  0.9854  0.2500  0.8167  5 Pm 2.91-3.08

Crystal system: orthorhombic
Calculated density in g/cm3: 6.1
Space group: Pnma, No. 62
Calculated volume in Å³ per atom: 23.3
Spin magnetization in Bohr magnetons per cell: 0.000


*b*
Entry from Alexandria via LeMat-Bulk: a relaxed structure of PmPSe (PBE-GGA).

Unit cell a=7.3684 b=3.8388 c=9.6211 alpha=90.00 beta=90.00 gamma=90.00
Closest atoms and distances in Å follow each position.
Atoms (fractional coordinates):
Pm  0.2147  0.2500  0.1594  4 P 2.97-3.08, 5 Se 2.98-3.12
Pm  0.2853  0.7500  0.6594  4 P 2.97-3.08, 5 Se 2.98-3.12
Pm  0.7147  0.2500  0.3406  4 P 2.97-3.08, 5 Se 2.98-3.12
Pm  0.7853  0.7500  0.8406  4 P 2.97-3.08, 5 Se 2.98-3.12
P  0.0839  0.2500  0.4632  2 P 2.39
P  0.4161  0.7500  0.9632  2 P 2.39
P  0.5839  0.2500  0.0368  2 P 2.39
P  0.9161  0.7500  0.5368  2 P 2.39
Se  0.0938  0.2500  0.8489  5 Pm 2.98-3.12, 2 P 3.25
Se  0.4062  0.7500  0.3489  5 Pm 2.98-3.12, 2 P 3.25
Se  0.5938  0.2500  0.6511  5 Pm 2.98-3.12, 2 P 3.25
Se  0.9062  0.7500  0.1511  5 Pm 2.98-3.12, 2 P 3.25

Crystal system: orthorhombic
Calculated density in g/cm3: 6.2
Space group: Pnma, No. 62
Calculated volume in Å³ per atom: 22.7
Spin magnetization in Bohr magnetons per cell: 0.000


*c*
Entry from Alexandria via LeMat-Bulk: a relaxed structure of PmPSe (PBE-GGA).

Unit cell a=7.3984 b=4.2676 c=11.3923 alpha=90.00 beta=106.70 gamma=90.00
Closest atoms and distances in Å follow each position.
Atoms (fractional coordinates):
Pm  0.0456  0.0000  0.2010  3 Se 2.84-2.85, 4 P 3.05-3.16
Pm  0.4544  0.5000  0.7990  3 Se 2.84-2.85, 4 P 3.05-3.16
Pm  0.5456  0.5000  0.2010  3 Se 2.84-2.85, 4 P 3.05-3.16
Pm  0.9544  0.0000  0.7990  3 Se 2.84-2.85, 4 P 3.05-3.16
P  0.1985  0.5000  0.9781  2 P 2.27
P  0.3015  0.0000  0.0219  2 P 2.27
P  0.6985  0.0000  0.9781  2 P 2.27
P  0.8015  0.5000  0.0219  2 P 2.27
Se  0.2280  0.0000  0.6681  3 Pm 2.84-2.85
Se  0.2720  0.5000  0.3319  3 Pm 2.84-2.85
Se  0.7280  0.5000  0.6681  3 Pm 2.84-2.85
Se  0.7720  0.0000  0.3319  3 Pm 2.84-2.85

Crystal system: monoclinic
Calculated density in g/cm3: 4.9
Space group: C2/m, No. 12
Calculated volume in Å³ per atom: 28.7
Spin magnetization in Bohr magnetons per cell: 0.000


Which of them is most stable, and which least? Most stable: *a*; least stable: *c*.


*a*
Entry from Alexandria via LeMat-Bulk: a relaxed structure of PmSiP (PBE-GGA).

Unit cell a=5.8400 b=5.7413 c=7.9998 alpha=90.00 beta=91.95 gamma=90.00
Closest atoms and distances in Å follow each position.
Atoms (fractional coordinates):
Pm  0.2470  0.0000  0.1864  1 Si 2.87, 5 P 2.87-2.93
Pm  0.2530  0.5000  0.8136  1 Si 2.87, 5 P 2.87-2.93
Pm  0.7470  0.5000  0.1864  1 Si 2.87, 5 P 2.87-2.93
Pm  0.7530  0.0000  0.8136  1 Si 2.87, 5 P 2.87-2.93
Si  0.2121  0.0000  0.5431  1 P 2.25
Si  0.2879  0.5000  0.4569  1 P 2.25
Si  0.7121  0.5000  0.5431  1 P 2.25
Si  0.7879  0.0000  0.4569  1 P 2.25
P  0.2481  0.5000  0.1760  1 Si 2.25
P  0.2519  0.0000  0.8240  1 Si 2.25
P  0.7481  0.0000  0.1760  1 Si 2.25
P  0.7519  0.5000  0.8240  1 Si 2.25

Crystal system: monoclinic
Calculated density in g/cm3: 5.1
Space group: C2/m, No. 12
Calculated volume in Å³ per atom: 22.3
Spin magnetization in Bohr magnetons per cell: 0.000


*b*
Entry from Alexandria via LeMat-Bulk: a relaxed structure of PmSiP (PBE-GGA).

Unit cell a=4.1673 b=4.1673 c=4.0250 alpha=90.00 beta=90.00 gamma=120.00
Closest atoms and distances in Å follow each position.
Atoms (fractional coordinates):
Pm  0.0000  0.0000  0.0000  6 Si 3.14, 6 P 3.14
Si  0.6667  0.3333  0.5000  3 P 2.41
P  0.3333  0.6667  0.5000  3 Si 2.41

Crystal system: hexagonal
Calculated density in g/cm3: 5.6
Space group: P-6m2, No. 187
Calculated volume in Å³ per atom: 20.2
Spin magnetization in Bohr magnetons per cell: 0.000


Which of them is most stable, and which least? Most stable: *a*; least stable: *b*.


*a*
Entry from Alexandria via LeMat-Bulk: a relaxed structure of PmSmP2 (PBE-GGA).

Unit cell a=5.8225 b=5.8225 c=11.6585 alpha=90.00 beta=90.00 gamma=90.00
Closest atoms and distances in Å follow each position.
Atoms (fractional coordinates):
Pm  0.0000  0.2500  0.3750  6 P 2.91-2.92
Pm  0.0000  0.7500  0.6250  6 P 2.91-2.92
Pm  0.5000  0.2500  0.1250  6 P 2.91-2.92
Pm  0.5000  0.7500  0.8750  6 P 2.91-2.92
Sm  0.0000  0.2500  0.8750  6 P 2.91
Sm  0.0000  0.7500  0.1250  6 P 2.91
Sm  0.5000  0.2500  0.6250  6 P 2.91
Sm  0.5000  0.7500  0.3750  6 P 2.91
P  0.0000  0.2500  0.1244  3 Sm 2.91, 3 Pm 2.91-2.92
P  0.0000  0.2500  0.6256  3 Sm 2.91, 3 Pm 2.91-2.92
P  0.0000  0.7500  0.3744  3 Sm 2.91, 3 Pm 2.91-2.92
P  0.0000  0.7500  0.8756  3 Sm 2.91, 3 Pm 2.91-2.92
P  0.5000  0.2500  0.3756  3 Sm 2.91, 3 Pm 2.91-2.92
P  0.5000  0.2500  0.8744  3 Sm 2.91, 3 Pm 2.91-2.92
P  0.5000  0.7500  0.1256  3 Sm 2.91, 3 Pm 2.91-2.92
P  0.5000  0.7500  0.6244  3 Sm 2.91, 3 Pm 2.91-2.92

Crystal system: tetragonal
Calculated density in g/cm3: 6.0
Space group: I4_1/amd, No. 141
Calculated volume in Å³ per atom: 24.7
Spin magnetization in Bohr magnetons per cell: 0.000


*b*
Entry from Alexandria via LeMat-Bulk: a relaxed structure of PmSmP2 (PBE-GGA).

Unit cell a=4.0738 b=4.0738 c=7.1613 alpha=90.00 beta=90.00 gamma=120.00
Closest atoms and distances in Å follow each position.
Atoms (fractional coordinates):
Pm  0.0000  0.0000  0.0000  6 P 2.96
Sm  0.0000  0.0000  0.5000  6 P 2.95
P  0.3333  0.6667  0.7485  3 Sm 2.95, 3 Pm 2.96
P  0.6667  0.3333  0.2515  3 Sm 2.95, 3 Pm 2.96

Crystal system: trigonal
Calculated density in g/cm3: 5.8
Space group: P-3m1, No. 164
Calculated volume in Å³ per atom: 25.7
Spin magnetization in Bohr magnetons per cell: 0.000


*c*
Entry from Alexandria via LeMat-Bulk: a relaxed structure of PmSmP2 (PBE-GGA).

Unit cell a=7.1036 b=7.1036 c=7.1036 alpha=90.00 beta=90.00 gamma=90.00
Closest atoms and distances in Å follow each position.
Atoms (fractional coordinates):
Pm  0.0000  0.0000  0.0000  8 P 3.08
Pm  0.0000  0.5000  0.5000  8 P 3.08
Pm  0.5000  0.0000  0.5000  8 P 3.08
Pm  0.5000  0.5000  0.0000  8 P 3.08
Sm  0.0000  0.0000  0.5000  8 P 3.08
Sm  0.0000  0.5000  0.0000  8 P 3.08
Sm  0.5000  0.0000  0.0000  8 P 3.08
Sm  0.5000  0.5000  0.5000  8 P 3.08
P  0.2500  0.2500  0.2500  4 Pm 3.08, 4 Sm 3.08
P  0.2500  0.2500  0.7500  4 Pm 3.08, 4 Sm 3.08
P  0.2500  0.7500  0.2500  4 Pm 3.08, 4 Sm 3.08
P  0.2500  0.7500  0.7500  4 Pm 3.08, 4 Sm 3.08
P  0.7500  0.2500  0.2500  4 Pm 3.08, 4 Sm 3.08
P  0.7500  0.2500  0.7500  4 Pm 3.08, 4 Sm 3.08
P  0.7500  0.7500  0.2500  4 Pm 3.08, 4 Sm 3.08
P  0.7500  0.7500  0.7500  4 Sm 3.08, 4 Pm 3.08

Crystal system: cubic
Calculated density in g/cm3: 6.6
Space group: Fm-3m, No. 225
Calculated volume in Å³ per atom: 22.4
Spin magnetization in Bohr magnetons per cell: 0.000


*d*
Entry from Alexandria via LeMat-Bulk: a relaxed structure of PmSmP2 (PBE-GGA).

Unit cell a=4.0748 b=4.0748 c=21.0545 alpha=90.00 beta=90.00 gamma=120.00
Closest atoms and distances in Å follow each position.
Atoms (fractional coordinates):
Pm  0.0000  0.0000  0.0000  6 P 2.90-2.96
Pm  0.3333  0.6667  0.6667  6 P 2.90-2.96
Pm  0.6667  0.3333  0.3333  6 P 2.90-2.96
Sm  0.0000  0.0000  0.8285  6 P 2.91-2.97
Sm  0.3333  0.6667  0.4951  6 P 2.91-2.97
Sm  0.6667  0.3333  0.1618  6 P 2.91-2.97
P  0.0000  0.0000  0.4136  3 Pm 2.90, 3 Sm 2.91
P  0.0000  0.0000  0.5813  3 Pm 2.96, 3 Sm 2.97
P  0.3333  0.6667  0.0803  3 Pm 2.90, 3 Sm 2.91
P  0.3333  0.6667  0.2479  3 Pm 2.96, 3 Sm 2.97
P  0.6667  0.3333  0.7469  3 Pm 2.90, 3 Sm 2.91
P  0.6667  0.3333  0.9146  3 Pm 2.96, 3 Sm 2.97

Crystal system: trigonal
Calculated density in g/cm3: 5.9
Space group: R3m, No. 160
Calculated volume in Å³ per atom: 25.2
Spin magnetization in Bohr magnetons per cell: 0.000


Which of them is most stable, and which least? Most stable: *a*; least stable: *c*.


*a*
Entry from Alexandria via LeMat-Bulk: a relaxed structure of PmSmP (PBE-GGA).

Unit cell a=3.5725 b=3.5725 c=12.9088 alpha=90.00 beta=90.00 gamma=90.00
Closest atoms and distances in Å follow each position.
Atoms (fractional coordinates):
Pm  0.0000  0.0000  0.0000  4 P 3.01, 1 Sm 3.26
Pm  0.5000  0.5000  0.5000  4 P 3.01, 1 Sm 3.26
Sm  0.0000  0.0000  0.7478  4 P 3.00, 1 Pm 3.26
Sm  0.5000  0.5000  0.2478  4 P 3.00, 1 Pm 3.26
P  0.0000  0.0000  0.3726  4 Sm 3.00, 4 Pm 3.01
P  0.5000  0.5000  0.8726  4 Sm 3.00, 4 Pm 3.01

Crystal system: tetragonal
Calculated density in g/cm3: 6.6
Space group: I4mm, No. 107
Calculated volume in Å³ per atom: 27.5
Spin magnetization in Bohr magnetons per cell: 0.000


*b*
Entry from Alexandria via LeMat-Bulk: a relaxed structure of PmSmP (PBE-GGA).

Unit cell a=13.0517 b=3.9990 c=6.9293 alpha=90.00 beta=90.00 gamma=90.00
Closest atoms and distances in Å follow each position.
Atoms (fractional coordinates):
Pm  0.1333  0.0000  0.0000  3 P 2.89
Pm  0.1333  0.5000  0.5000  3 P 2.89
Pm  0.8667  0.0000  0.0000  3 P 2.89
Pm  0.8667  0.5000  0.5000  3 P 2.89
Sm  0.3679  0.0000  0.6676  3 P 2.88
Sm  0.3679  0.5000  0.1676  3 P 2.88
Sm  0.6321  0.0000  0.6676  3 P 2.88
Sm  0.6321  0.5000  0.1676  3 P 2.88
P  0.0000  0.0000  0.6667  6 Pm 2.89
P  0.0000  0.5000  0.1667  6 Pm 2.89
P  0.5000  0.0000  0.0009  6 Sm 2.88
P  0.5000  0.5000  0.5009  6 Sm 2.88

Crystal system: orthorhombic
Calculated density in g/cm3: 6.0
Space group: Amm2, No. 38
Calculated volume in Å³ per atom: 30.1
Spin magnetization in Bohr magnetons per cell: 0.000


Which of them is most stable, and which least? Most stable: *b*; least stable: *a*.


*a*
Entry from Alexandria via LeMat-Bulk: a relaxed structure of PmSmP (PBE-GGA).

Unit cell a=6.8227 b=6.8227 c=6.8227 alpha=90.00 beta=90.00 gamma=90.00
Closest atoms and distances in Å follow each position.
Atoms (fractional coordinates):
Pm  0.0000  0.0000  0.0000  4 P 2.95
Pm  0.0000  0.5000  0.5000  4 P 2.95
Pm  0.5000  0.0000  0.5000  4 P 2.95
Pm  0.5000  0.5000  0.0000  4 P 2.95
Sm  0.0000  0.0000  0.5000  4 P 2.95
Sm  0.0000  0.5000  0.0000  4 P 2.95
Sm  0.5000  0.0000  0.0000  4 P 2.95
Sm  0.5000  0.5000  0.5000  4 P 2.95
P  0.2500  0.2500  0.7500  4 Pm 2.95, 4 Sm 2.95
P  0.2500  0.7500  0.2500  4 Pm 2.95, 4 Sm 2.95
P  0.7500  0.2500  0.2500  4 Pm 2.95, 4 Sm 2.95
P  0.7500  0.7500  0.7500  4 Pm 2.95, 4 Sm 2.95

Crystal system: cubic
Calculated density in g/cm3: 6.8
Space group: F-43m, No. 216
Calculated volume in Å³ per atom: 26.5
Spin magnetization in Bohr magnetons per cell: 0.000


*b*
Entry from Alexandria via LeMat-Bulk: a relaxed structure of PmSmP (PBE-GGA).

Unit cell a=3.9891 b=3.9891 c=6.6490 alpha=90.00 beta=90.00 gamma=120.00
Closest atoms and distances in Å follow each position.
Atoms (fractional coordinates):
Pm  0.0000  0.0000  0.0000  3 P 2.83
Sm  0.6667  0.3333  0.4888  3 P 2.81
P  0.3333  0.6667  0.2462  3 Sm 2.81, 3 Pm 2.83

Crystal system: trigonal
Calculated density in g/cm3: 5.9
Space group: P3m1, No. 156
Calculated volume in Å³ per atom: 30.5
Spin magnetization in Bohr magnetons per cell: 0.740


Which of them is most stable, and which least? Most stable: *b*; least stable: *a*.